No. 1
ErInGaNi | the Alexandria database | PBE | optimized geometry; formation enthalpy at 0 K = -0.3250 eV/atom; volume = 18.72 Å³/atom; space-group type = No. 216
1.0
-2.0609 -1.4095 -4.0190
2.6279 -0.7980 -3.8528
0.6320 -4.4226 -1.5582
In Ga Er Ni
1 1 1 1
Direct
0.5000 0.5000 0.5000
0.7500 0.7500 0.7500
0.0000 0.0000 0.0000
0.2500 0.2500 0.2500

No. 2
Er2InGa2Ni5 | the Alexandria database | PBE | optimized geometry; formation enthalpy at 0 K = -0.3833 eV/atom; volume = 15.99 Å³/atom; space-group type = No. 127
1.0
3.5715 0.0000 0.0000
0.0000 9.4636 0.0000
0.0000 0.0000 9.4636
Ni Er In Ga
10 4 2 4
Direct
0.5000 0.2832 0.5616
0.5000 0.5616 0.7168
0.5000 0.0000 0.5000
0.5000 0.7832 0.9384
0.5000 0.7168 0.4384
0.5000 0.0616 0.7832
0.5000 0.4384 0.2832
0.5000 0.9384 0.2168
0.5000 0.5000 0.0000
0.5000 0.2168 0.0616
0.0000 0.1793 0.3207
0.0000 0.8207 0.6793
0.0000 0.6793 0.1793
0.0000 0.3207 0.8207
0.0000 0.5000 0.5000
0.0000 0.0000 0.0000
0.0000 0.8829 0.3829
0.0000 0.1171 0.6171
0.0000 0.3829 0.1171
0.0000 0.6171 0.8829

No. 3
ErPaInGa | the Alexandria database | PBE | optimized geometry; formation enthalpy at 0 K = -0.1530 eV/atom; volume = 24.59 Å³/atom; space-group type = No. 216
1.0
-0.6910 -1.2918 4.9698
4.1014 -0.7663 3.0719
1.1076 3.4092 3.7410
In Er Ga Pa
1 1 1 1
Direct
0.7500 0.7500 0.7500
0.5000 0.5000 0.5000
0.2500 0.2500 0.2500
0.0000 0.0000 0.0000